## La5Pr12Tm2 (PBE-GGA)

Data for a relaxed structure of La5Pr12Tm2.

The structure in extended XYZ format:
```
19
Lattice="5.1480 0.0804 1.2717 0.5443 11.0576 8.1552 -0.6558 2.0328 13.5835" Properties=species:S:1:pos:R:3 pbc="T T T"
La 1.5292 2.6239 4.7004
La 3.5586 4.0169 7.4651
La 2.5740 0.0402 0.6359
La 1.4779 9.1538 15.5454
La 3.5073 10.5469 18.3100
Pr 0.4166 11.7868 19.6882
Pr 1.2648 6.1992 5.5471
Pr 0.6805 1.8050 8.1902
Pr 3.2909 7.5565 8.3140
Pr 2.7138 3.2167 10.9244
Pr 0.4016 5.4096 9.0825
Pr 4.6349 7.7612 13.9280
Pr 1.7456 5.6143 14.6964
Pr 2.3227 9.9541 12.0860
Pr 3.7716 6.9716 17.4633
Pr 4.3560 11.3658 14.8202
Pr 4.6198 1.3840 3.3222
Tm -0.3895 4.0358 12.3788
Tm 0.2779 9.0547 9.3599
```

Calculated volume = 697.49 Å³/cell
Fermi-level density of states = 32.34 states/eV/f.u.
DFT formation energy = 0.1049 eV per atom
Energy above the most stable polymorph in this dataset = 0 meV per atom
Total moment = 0.0 μB/cell